Entry 1:
An optimized crystal structure of TaIn2Ag, computed with PBE.

Structure (POSCAR):
```
TaIn2Ag
1.0
-2.046 2.046 4.828
2.046 -2.046 4.828
2.046 2.046 -4.828
Ta In Ag
1 2 1
direct
0.000 0.000 0.000
0.500 0.500 0.000
0.750 0.250 0.500
0.250 0.750 0.500
```

Results
Space group: I-4m2, No. 119
Relative energy among the computed polymorphs in eV/f.u.: 0.70
Energy of formation in eV/atom: 0.325

Entry 2:
An optimized crystal structure of Na3TaTl2Se6, computed with PBE.

Structure (POSCAR):
```
Na3TaTl2Se6
1.0
3.636 -6.279 0.000
3.636 6.279 0.000
-2.496 0.000 6.814
Na Ta Tl Se
3 1 2 6
direct
0.000 0.000 0.000
0.324 0.676 0.000
0.676 0.324 0.000
0.500 0.500 0.500
0.165 0.835 0.500
0.835 0.165 0.500
0.132 0.426 0.275
0.286 0.286 0.723
0.426 0.132 0.275
0.574 0.868 0.725
0.714 0.714 0.277
0.868 0.574 0.725
```

Results
Space group: C2/m, No. 12
Energy relative to the elements, uncorrected in eV per formula unit: -8.750

Entry 3:
An optimized crystal structure of CdCo2HPd, computed with PBE.

Structure (POSCAR):
```
CdCo2HPd
1.0
3.810 0.000 0.000
0.000 3.810 0.000
0.000 0.000 4.071
Cd Co H Pd
1 2 1 1
direct
0.000 0.000 0.000
0.000 0.500 0.500
0.500 0.000 0.500
0.500 0.500 0.500
0.500 0.500 0.000
```

Results
Space group: P4/mmm, No. 123
Total energy in eV/atom: -4.624

Entry 4:
An optimized crystal structure of TaBePb, computed with PBE.

Structure (POSCAR):
```
TaBePb
1.0
0.000 3.032 3.032
3.032 0.000 3.032
3.032 3.032 0.000
Ta Be Pb
1 1 1
direct
0.000 0.000 0.000
0.250 0.250 0.250
0.500 0.500 0.500
```

Results
Space group: F-43m, No. 216
Relative energy among the computed polymorphs in eV/f.u.: 1.07
Energy of formation in eV/atom: 0.889